Crystalline Sr5Mo2P7 at its relaxed geometry, computed with PBE.

The structure in POSCAR format:
```
Sr5Mo2P7
1.0
10.576 -0.003 0.004
-4.442 9.721 -0.007
-0.144 -1.361 7.383
P Sr Mo
14 10 4
Cartesian
-3.854 8.841 1.739
-1.813 5.514 6.802
2.771 8.851 0.241
3.219 -0.494 7.139
4.696 5.622 1.180
-0.254 4.309 3.103
9.845 -0.484 5.641
1.294 2.735 6.200
6.244 4.047 4.277
7.803 2.843 0.578
3.058 2.522 2.930
6.408 0.189 4.728
2.932 5.835 4.450
-0.418 8.168 2.652
5.543 1.136 2.012
7.750 5.571 2.057
0.448 7.221 5.368
1.912 0.070 4.358
-1.759 2.785 5.323
4.079 8.287 3.022
5.431 6.297 6.459
4.605 2.204 6.276
1.385 6.153 1.104
0.559 2.060 0.921
1.659 3.849 4.243
-1.741 8.652 0.843
4.331 4.508 3.137
7.731 -0.295 6.537
```

Calculated values
Crystal system: triclinic
Calculated total energy: -5.699 eV per atom